1.
The following is a PBE calculation of Er3ScBi after structural relaxation, from Alexandria via LeMat-Bulk.

Calculated volume in Å³ per cell: 595.00
Energy of formation in kJ per mole of atoms: -13
Fermi-level density of states in states/eV per cell: 21.041
VASP energy in eV per atom: -4.914

Unit cell a=11.867 b=5.640 c=8.898 alpha=90.00 beta=92.47 gamma=90.00
Space group C2/m (No. 12)
Unique sites:
Er1 0.085 0.000 0.338
Er2 0.105 0.500 0.671
Er3 0.126 0.000 0.930
Sc1 0.098 0.500 0.101
Bi1 0.249 0.000 0.629


2.
The following is a PBE calculation of Er3Sc5Bi8 after structural relaxation, from Alexandria via LeMat-Bulk.

Calculated volume in Å³ per cell: 1384.26
Energy of formation in kJ per mole of atoms: -69
Fermi-level density of states in states/eV per cell: 12.530
VASP energy in eV per atom: -5.486

Unit cell a=8.6744 b=8.6744 c=21.2427 alpha=90.00 beta=90.00 gamma=120.00
Space group R-3m (No. 166, hexagonal axes)
Unique sites:
Er1 0.0000 0.5000 0.0000
Sc1 0.0000 0.0000 0.0000
Sc2 0.0000 0.0000 0.5000
Sc3 0.0000 0.5000 0.5000
Bi1 0.0000 0.0000 0.2458
Bi2 0.0056 0.5028 0.7528


3.
The following is a PBE calculation of ErScBi2 after structural relaxation, from Alexandria via LeMat-Bulk.

Calculated volume in Å³ per cell: 360.55
Energy of formation in kJ per mole of atoms: -62
Fermi-level density of states in states/eV per cell: 1.900
VASP energy in eV per atom: -5.303

Unit cell a=4.3277 b=4.3277 c=22.2291 alpha=90.00 beta=90.00 gamma=120.00
Space group R3m (No. 160, hexagonal axes)
Unique sites:
Er1 0.0000 0.0000 0.0000
Sc1 0.0000 0.0000 0.1699
Bi1 0.0000 0.0000 0.4203
Bi2 0.0000 0.0000 0.5831


4.
The following is a PBE calculation of Er2ScBi3 after structural relaxation, from Alexandria via LeMat-Bulk.

Calculated volume in Å³ per cell: 359.47
Energy of formation in kJ per mole of atoms: -72
Fermi-level density of states in states/eV per cell: 1.960
VASP energy in eV per atom: -5.267

Unit cell a=4.396 b=4.396 c=18.599 alpha=90.00 beta=90.00 gamma=90.00
Space group I4/mmm (No. 139)
Unique sites:
Er1 0.000 0.000 0.167
Sc1 0.000 0.000 0.500
Bi1 0.000 0.000 0.000
Bi2 0.000 0.000 0.337


5.
The following is a PBE calculation of ErSc8Bi6 after structural relaxation, from Alexandria via LeMat-Bulk.

Calculated volume in Å³ per cell: 1270.66
Energy of formation in kJ per mole of atoms: -40
Fermi-level density of states in states/eV per cell: 50.695
VASP energy in eV per atom: -5.648

Unit cell a=8.0051 b=8.0051 c=22.8964 alpha=90.00 beta=90.00 gamma=120.00
Space group R-3 (No. 148, hexagonal axes)
Unique sites:
Er1 0.0000 0.0000 0.0000
Sc1 0.0000 0.0000 0.3340
Sc2 0.0026 0.6773 0.1243
Bi1 0.0022 0.6579 0.9292


6.
The following is a PBE calculation of ErSc2Bi after structural relaxation, from Alexandria via LeMat-Bulk.

Calculated volume in Å³ per cell: 326.17
Energy of formation in kJ per mole of atoms: -13
Fermi-level density of states in states/eV per cell: 16.064
VASP energy in eV per atom: -5.414

Unit cell a=3.5102 b=3.5102 c=30.5671 alpha=90.00 beta=90.00 gamma=120.00
Space group R3m (No. 160, hexagonal axes)
Unique sites:
Er1 0.0000 0.0000 0.0000
Sc1 0.0000 0.0000 0.5807
Sc2 0.0000 0.0000 0.7531
Bi1 0.0000 0.0000 0.1667


7.
The following is a PBE calculation of Er8ScBi2 after structural relaxation, from Alexandria via LeMat-Bulk.

Calculated volume in Å³ per cell: 670.96
Energy of formation in kJ per mole of atoms: -12
Fermi-level density of states in states/eV per cell: 29.490
VASP energy in eV per atom: -4.728

Unit cell a=8.634 b=14.874 c=5.744 alpha=90.00 beta=114.56 gamma=90.00
Space group C2/m (No. 12)
Unique sites:
Er1 0.000 0.216 0.000
Er2 0.101 0.500 0.805
Er3 0.206 0.110 0.611
Sc1 0.000 0.000 0.000
Bi1 0.000 0.302 0.500


8.
The following is a PBE calculation of ErSc3Bi3 after structural relaxation, from Alexandria via LeMat-Bulk.

Calculated volume in Å³ per cell: 1200.97
Energy of formation in kJ per mole of atoms: -52
Fermi-level density of states in states/eV per cell: 36.930
VASP energy in eV per atom: -5.564

Unit cell a=8.7308 b=8.7308 c=18.1925 alpha=90.00 beta=90.00 gamma=120.00
Space group R-3 (No. 148, hexagonal axes)
Unique sites:
Er1 0.0000 0.0000 0.1650
Sc1 0.0005 0.2577 0.4239
Bi1 0.0029 0.6144 0.4106